# 1
Below is a relaxed MnBe2NiPd crystal, with properties calculated at the GGA-PBE level.

Values from the calculation:
space-group type	No. 123

Lattice parameters (Å, degrees): 3.9998 3.9998 4.3737 90.00 90.00 90.00
With the nearest neighbours (Å) after each atom.
Positions (direct):
Mn (0.0000, 0.0000, 0.0000)  4 Be 2.00, 2 Pd 2.19
Be (0.0000, 0.5000, 0.0000)  2 Mn 2.00
Be (0.5000, 0.0000, 0.0000)  2 Mn 2.00
Ni (0.5000, 0.5000, 0.5000)  4 Pd 2.83, 8 Be 2.96
Pd (0.0000, 0.0000, 0.5000)  2 Mn 2.19

***

# 2
Below is a relaxed MnBeNiPd crystal, with properties calculated at the GGA-PBE level.

Values from the calculation:
space-group type	No. 216

Lattice parameters (Å, degrees): 4.0962 4.0962 4.0962 60.00 60.00 60.00
With the nearest neighbours (Å) after each atom.
Positions (direct):
Mn (0.0000, 0.0000, 0.0000)  4 Ni 2.51, 4 Pd 2.51
Be (0.5000, 0.5000, 0.5000)  4 Ni 2.51, 4 Pd 2.51
Ni (0.7500, 0.7500, 0.7500)  4 Mn 2.51, 4 Be 2.51
Pd (0.2500, 0.2500, 0.2500)  4 Mn 2.51, 4 Be 2.51

***

# 3
Below is a relaxed Pm2MnBe3Ni12 crystal, with properties calculated at the GGA-PBE level.

Values from the calculation:
space-group type	No. 166

Lattice parameters (Å, degrees): 6.7766 6.7766 6.7766 67.52 67.52 67.52
With the nearest neighbours (Å) after each atom.
Positions (direct):
Pm (0.1066, 0.1066, 0.1066)  6 Ni 2.60-2.76
Pm (0.8934, 0.8934, 0.8934)  6 Ni 2.60-2.76
Mn (0.5000, 0.5000, 0.5000)  6 Ni 2.31
Be (0.0000, 0.5000, 0.5000)  6 Ni 2.03-2.09
Be (0.5000, 0.0000, 0.5000)  6 Ni 2.03-2.09
Be (0.5000, 0.5000, 0.0000)  6 Ni 2.03-2.09
Ni (0.1208, 0.6344, 0.6344)  1 Be 2.03
Ni (0.1605, 0.1605, 0.5863)  2 Be 2.09
Ni (0.1605, 0.5863, 0.1605)  2 Be 2.09
Ni (0.3656, 0.3656, 0.8792)  1 Be 2.03
Ni (0.3656, 0.8792, 0.3656)  1 Be 2.03
Ni (0.4137, 0.8395, 0.8395)  2 Be 2.09
Ni (0.5863, 0.1605, 0.1605)  2 Be 2.09
Ni (0.6344, 0.1208, 0.6344)  1 Be 2.03
Ni (0.6344, 0.6344, 0.1208)  1 Be 2.03
Ni (0.8395, 0.4137, 0.8395)  2 Be 2.09
Ni (0.8395, 0.8395, 0.4137)  2 Be 2.09
Ni (0.8792, 0.3656, 0.3656)  1 Be 2.03

***

# 4
Below is a relaxed MnBeNiPt2 crystal, with properties calculated at the GGA-PBE level.

Values from the calculation:
space-group type	No. 123

Lattice parameters (Å, degrees): 4.6279 4.6279 4.2176 90.00 90.00 90.00
With the nearest neighbours (Å) after each atom.
Positions (direct):
Mn (0.0000, 0.0000, 0.0000)  2 Ni 2.11, 4 Pt 2.31
Be (0.5000, 0.5000, 0.5000)  8 Pt 3.13, 4 Ni 3.27
Ni (0.0000, 0.0000, 0.5000)  2 Mn 2.11
Pt (0.0000, 0.5000, 0.0000)  2 Mn 2.31
Pt (0.5000, 0.0000, 0.0000)  2 Mn 2.31

***

Number 1: formation energy from the elements 1.11 eV per atom. Number 2: formation energy from the elements -0.20 eV per atom. Number 3: formation energy from the elements 0.26 eV per atom. Number 4: formation energy from the elements 1.15 eV per atom.